VASP calculation (PBEsol) on crystalline RbYCu2 at its relaxed geometry.

calculated formation energy: 0.565 eV per atom
final energy: -3.564 eV/atom
volume: 92.4 Å³/cell

POSCAR file:
```
RbYCu2
1.0
-0.399 -1.748 -4.747
2.736 -4.015 -1.464
-2.287 -4.443 -0.884
Y Rb Cu
1 1 2
Direct
0.500 0.500 0.500 Y
0.000 0.000 0.000 Rb
0.250 0.250 0.250 Cu
0.750 0.750 0.750 Cu
```

***

VASP calculation (PBEsol) on crystalline Zn2CuPt at its relaxed geometry.

calculated formation energy: -0.302 eV per atom
final energy: -3.917 eV/atom
volume: 53.4 Å³/cell

POSCAR file:
```
Zn2CuPt
1.0
-2.038 1.880 -0.087
-1.200 -1.485 -3.978
-1.380 -3.405 2.970
Zn Pt Cu
2 1 1
Direct
0.247 0.723 0.494 Zn
0.001 0.024 0.001 Zn
0.751 0.228 0.501 Pt
0.502 0.525 0.004 Cu
```

***

VASP calculation (PBEsol) on crystalline Sr3FeN at its relaxed geometry.

final energy: -4.441 eV/atom
volume: 137.7 Å³/cell

POSCAR file:
```
Sr3FeN
1.0
5.164 0.000 0.000
0.000 5.164 0.000
0.000 0.000 5.164
Fe Sr N
1 3 1
Direct
0.500 0.500 0.500 Fe
0.000 0.000 0.500 Sr
0.000 0.500 0.000 Sr
0.500 0.000 0.000 Sr
0.000 0.000 0.000 N
```

***

VASP calculation (PBEsol) on crystalline Cs2Ga2Cl at its relaxed geometry.

final energy: -2.827 eV/atom
volume: 163.0 Å³/cell

POSCAR file:
```
Cs2Ga2Cl
1.0
3.891 0.000 0.000
0.000 3.891 0.000
-1.946 -1.946 10.764
Ga Cs Cl
2 2 1
Direct
0.250 0.750 0.500 Ga
0.750 0.250 0.500 Ga
0.405 0.405 0.810 Cs
0.595 0.595 0.190 Cs
0.000 0.000 0.000 Cl
```

***

VASP calculation (PBEsol) on crystalline La2TcBr at its relaxed geometry.

final energy: -6.573 eV/atom
volume: 101.0 Å³/cell

POSCAR file:
```
La2TcBr
1.0
-2.460 -0.440 2.487
1.045 -3.322 -0.547
5.789 0.853 5.877
La Tc Br
2 1 1
Direct
0.000 0.000 0.710 La
0.000 0.000 0.290 La
0.500 0.500 0.500 Tc
0.500 0.500 0.000 Br
```

***

VASP calculation (PBEsol) on crystalline Ca2TlCu2 at its relaxed geometry.

calculated formation energy: -0.047 eV per atom
final energy: -3.160 eV/atom
volume: 116.5 Å³/cell

POSCAR file:
```
Ca2TlCu2
1.0
5.442 0.000 -0.001
-2.594 4.784 0.001
-2.594 -1.695 4.473
Ca Tl Cu
2 1 2
Direct
0.500 0.750 0.250 Ca
0.500 0.250 0.750 Ca
0.000 0.000 0.000 Tl
0.000 0.350 0.350 Cu
0.000 0.650 0.650 Cu
```

***

VASP calculation (PBEsol) on crystalline FeSnTe2Br at its relaxed geometry.

final energy: -4.327 eV/atom
volume: 129.0 Å³/cell

POSCAR file:
```
FeSnTe2Br
1.0
4.908 0.000 0.000
0.000 4.908 0.000
0.000 0.000 5.357
Sn Te Fe Br
1 2 1 1
Direct
0.000 0.000 0.500 Sn
0.000 0.500 0.000 Te
0.500 0.000 0.000 Te
0.000 0.000 0.000 Fe
0.500 0.500 0.500 Br
```

***

VASP calculation (PBEsol) on crystalline Al2CoBr at its relaxed geometry.

final energy: -3.894 eV/atom
volume: 64.7 Å³/cell

POSCAR file:
```
Al2CoBr
1.0
4.029 0.000 0.000
0.000 4.029 0.000
-2.015 -2.015 3.983
Al Br Co
2 1 1
Direct
0.750 0.250 0.500 Al
0.000 0.000 0.000 Al
0.500 0.500 0.000 Br
0.250 0.750 0.500 Co
```

***

VASP calculation (PBEsol) on crystalline Si2HgBr at its relaxed geometry.

final energy: -3.364 eV/atom
volume: 89.4 Å³/cell

POSCAR file:
```
Si2HgBr
1.0
-2.724 -1.282 -1.840
-0.721 -2.240 2.629
-4.321 4.895 2.986
Si Hg Br
2 1 1
Direct
0.000 0.000 0.145 Si
0.500 0.500 0.111 Si
0.500 0.500 0.760 Hg
0.000 0.000 0.484 Br
```

***

VASP calculation (PBEsol) on crystalline BaPt4Rh at its relaxed geometry.

calculated formation energy: 0.011 eV per atom
final energy: -6.346 eV/atom
volume: 110.2 Å³/cell

POSCAR file:
```
BaPt4Rh
1.0
-2.664 4.334 -1.755
-2.899 -0.273 -4.526
-5.375 0.133 0.235
Pt Rh Ba
4 1 1
Direct
0.376 0.376 0.376 Pt
0.873 0.376 0.376 Pt
0.376 0.873 0.376 Pt
0.376 0.376 0.873 Pt
0.750 0.750 0.750 Rh
0.000 0.000 0.000 Ba
```

***

> Look up the final energy of the fifth one.

-6.573 eV/atom

***

> Which formula does entry 10 have?

BaPt4Rh

***

Repeat the second record exactly.
VASP calculation (PBEsol) on crystalline Zn2CuPt at its relaxed geometry.

calculated formation energy: -0.302 eV per atom
final energy: -3.917 eV/atom
volume: 53.4 Å³/cell

POSCAR file:
```
Zn2CuPt
1.0
-2.038 1.880 -0.087
-1.200 -1.485 -3.978
-1.380 -3.405 2.970
Zn Pt Cu
2 1 1
Direct
0.247 0.723 0.494 Zn
0.001 0.024 0.001 Zn
0.751 0.228 0.501 Pt
0.502 0.525 0.004 Cu
```

***

> Among the records above, which one has the lowest volume?

Zn2CuPt